## Ca2Ni3Sb4Pt (PBE)

Data for an optimized crystal structure of Ca2Ni3Sb4Pt.

Lattice parameters (Å, degrees): 4.530 4.530 10.188 90.00 90.00 90.00
Positions (direct):
Ca 0.000 0.500 0.240
Ca 0.500 0.000 0.760
Ni 0.000 0.000 0.000
Ni 0.000 0.500 0.620
Ni 0.500 0.000 0.380
Sb 0.000 0.000 0.500
Sb 0.000 0.500 0.864
Sb 0.500 0.000 0.136
Sb 0.500 0.500 0.500
Pt 0.500 0.500 0.000

Properties
- symmetry = P-4m2
- M_tot (μB/atom) = 0.00
- uncorrected formation energy (eV/atom) = -0.557
- D(E_F) (states/eV/cell) = 4.7
- total DFT energy (no corrections) (eV for the cell shown) = -49.45

=====

## CsVAg2Br6 (PBE)

Data for an optimized crystal structure of CsVAg2Br6.

Lattice parameters (Å, degrees): 7.303 7.303 7.943 62.73 62.75 60.02
Positions (direct):
Cs 0.000 0.000 0.000
V 0.456 0.457 0.630
Ag 0.264 0.263 0.208
Ag 0.802 0.802 0.595
Br 0.067 0.490 0.863
Br 0.243 0.833 0.409
Br 0.490 0.581 0.862
Br 0.513 0.243 0.409
Br 0.580 0.067 0.864
Br 0.834 0.513 0.409

Properties
- symmetry = P1
- M_tot (μB/atom) = 0.20
- uncorrected formation energy (eV/atom) = -0.781
- D(E_F) (states/eV/cell) = 8.5
- total DFT energy (no corrections) (eV for the cell shown) = -33.52

=====

## PmAl6Fe6 (PBE)

Data for an optimized crystal structure of PmAl6Fe6.

Lattice parameters (Å, degrees): 6.590 6.590 6.590 135.42 98.98 97.56
Positions (direct):
Pm 0.000 0.000 0.000
Al 0.196 0.696 0.500
Al 0.339 0.000 0.339
Al 0.348 0.348 0.000
Al 0.652 0.652 0.000
Al 0.661 0.000 0.661
Al 0.804 0.304 0.500
Fe 0.000 0.000 0.500
Fe 0.000 0.500 0.000
Fe 0.241 0.500 0.741
Fe 0.500 0.000 0.000
Fe 0.500 0.500 0.500
Fe 0.759 0.500 0.259

Properties
- symmetry = Immm
- M_tot (μB/atom) = 0.78
- D(E_F) (states/eV/cell) = 8.9
- formation energy from the elements (eV/atom) = -0.352
- total DFT energy (no corrections) (eV for the cell shown) = -82.56